TbCo6O8 | PBE+U | optimized geometry

## Properties
DFT total energy ... -6.166 eV/atom

```
data_TbCo6O8
_chemical_formula_sum 'Tb4 Co24 O32'
_cell_length_a 8.560
_cell_length_b 8.560
_cell_length_c 8.560
_cell_angle_alpha 90.00
_cell_angle_beta 90.00
_cell_angle_gamma 90.00
_space_group_name_H-M_alt 'F m -3 m'
_space_group_IT_number 225
_space_group_name_Hall '-F 4 2 3'
loop_
_atom_site_label
_atom_site_fract_x
_atom_site_fract_y
_atom_site_fract_z
Tb1 0.000 0.000 0.000
Co1 0.000 0.250 0.250
O1 0.000 0.000 0.257
O2 0.250 0.250 0.250
```